# 1
Crystalline Li2YTlO4 at its relaxed geometry, computed with PBE.

Computed properties:
- raw formation energy (eV per atom) = -1.945
- crystal system = monoclinic

a = 6.517 Å, b = 6.517 Å, c = 6.746 Å
α = 120.87°, β = 120.87°, γ = 85.69°
Element x y z (fractional)
Li 0.000 0.000 0.000
Li 0.000 0.000 0.500
Li 0.000 0.500 0.000
Li 0.500 0.000 0.500
Y 0.000 0.500 0.500
Y 0.500 0.000 0.000
Tl 0.500 0.500 0.000
Tl 0.500 0.500 0.500
O 0.237 0.760 0.975
O 0.240 0.763 0.525
O 0.254 0.273 0.015
O 0.273 0.254 0.515
O 0.727 0.746 0.485
O 0.746 0.727 0.985
O 0.760 0.237 0.475
O 0.763 0.240 0.025

***

# 2
Crystalline CuBiTeI2 at its relaxed geometry, computed with PBE.

Computed properties:
- raw formation energy (eV per atom) = 0.225
- energy relative to the lowest polymorph listed for this composition (meV per atom) = 0
- crystal system = tetragonal

a = 5.284 Å, b = 5.284 Å, c = 5.411 Å
α = 90.00°, β = 90.00°, γ = 90.00°
Element x y z (fractional)
Cu 0.000 0.000 0.000
Bi 0.500 0.500 0.500
Te 0.000 0.000 0.500
I 0.000 0.500 0.000
I 0.500 0.000 0.000

***

# 3
Crystalline HfSc2UC4 at its relaxed geometry, computed with PBE.

Computed properties:
- energy of formation from the pure elements (kJ/mol of formula units) = -408
- crystal system = monoclinic

a = 5.780 Å, b = 3.394 Å, c = 5.854 Å
α = 90.00°, β = 109.57°, γ = 90.00°
Element x y z (fractional)
Hf 0.000 0.000 0.000
Sc 0.500 0.000 0.500
Sc 0.500 0.500 0.000
U 0.000 0.500 0.500
C 0.235 0.000 0.746
C 0.237 0.500 0.250
C 0.763 0.500 0.750
C 0.765 0.000 0.254

***

# 4
Crystalline ReNi2Hg at its relaxed geometry, computed with PBE.

Computed properties:
- energy of formation from the pure elements (kJ/mol of formula units) = 154
- crystal system = monoclinic

a = 4.443 Å, b = 4.443 Å, c = 5.161 Å
α = 96.73°, β = 96.73°, γ = 35.62°
Element x y z (fractional)
Re 0.000 0.000 0.000
Ni 0.255 0.255 0.798
Ni 0.745 0.745 0.202
Hg 0.500 0.500 0.500

***

| no. | total moment (μB/cell) | calculated density (g/cm³) |
| --- | --- | --- |
| 1 | 0.00 | 6.04 |
| 2 | 0.00 | 7.19 |
| 3 | 0.00 | 8.51 |
| 4 | 0.00 | 14.22 |